Entry from the Alexandria database: a PBEsol-optimized structure of Tl2TePbW (SCAN).

The structure in extended XYZ format:
```
5
Lattice="5.752 0.000 0.000 0.000 5.752 0.000 0.000 0.000 5.925" Properties=species:S:1:pos:R:3 pbc="T T T"
Tl 0.000 2.876 0.000
Tl 2.876 0.000 0.000
Te 0.000 0.000 0.000
Pb 0.000 0.000 2.963
W 2.876 2.876 2.963
```

theoretical density	7.85	g/cm³
magnetization	4.6	Bohr magnetons per cell
formation energy (no corrections)	1.737	eV per atom
crystal system	tetragonal

=====

Entry from the Alexandria database: a PBEsol-optimized structure of BaFeSi4O10 (SCAN).

The structure in extended XYZ format:
```
64
Lattice="7.526 0.000 0.000 0.000 7.526 0.000 0.000 0.000 16.261" Properties=species:S:1:pos:R:3 pbc="T T T"
Ba 1.881 5.644 0.000
Ba 1.881 5.644 8.131
Ba 5.644 1.881 0.000
Ba 5.644 1.881 8.131
Fe 1.881 1.881 1.477
Fe 1.881 1.881 9.607
Fe 5.644 5.644 6.654
Fe 5.644 5.644 14.785
Si 0.116 0.498 5.622
Si 0.116 3.265 13.753
Si 0.498 0.116 13.753
Si 0.498 3.647 5.622
Si 3.265 0.116 5.622
Si 3.265 3.647 13.753
Si 3.647 0.498 13.753
Si 3.647 3.265 5.622
Si 3.879 4.261 10.639
Si 3.879 7.028 2.509
Si 4.261 3.879 2.509
Si 4.261 7.410 10.639
Si 7.028 3.879 10.639
Si 7.028 7.410 2.509
Si 7.410 4.261 2.509
Si 7.410 7.028 10.639
O 0.007 1.651 14.049
O 0.007 2.112 5.919
O 0.185 0.890 1.466
O 0.185 2.873 9.596
O 0.226 3.989 4.065
O 0.226 7.299 12.196
O 0.890 0.185 9.596
O 0.890 3.578 1.466
O 1.651 0.007 5.919
O 1.651 3.756 14.049
O 2.112 0.007 14.049
O 2.112 3.756 5.919
O 2.873 0.185 1.466
O 2.873 3.578 9.596
O 3.537 3.989 12.196
O 3.537 7.299 4.065
O 3.578 0.890 9.596
O 3.578 2.873 1.466
O 3.756 1.651 5.919
O 3.756 2.112 14.049
O 3.770 5.414 2.212
O 3.770 5.875 10.343
O 3.948 4.653 14.796
O 3.948 6.636 6.665
O 3.989 0.226 12.196
O 3.989 3.537 4.065
O 4.653 3.948 6.665
O 4.653 7.341 14.796
O 5.414 3.770 10.343
O 5.414 7.519 2.212
O 5.875 3.770 2.212
O 5.875 7.519 10.343
O 6.636 3.948 14.796
O 6.636 7.341 6.665
O 7.299 0.226 4.065
O 7.299 3.537 12.196
O 7.341 4.653 6.665
O 7.341 6.636 14.796
O 7.519 5.414 10.343
O 7.519 5.875 2.212
```

theoretical density	3.36	g/cm³
magnetization	16.0	Bohr magnetons per cell
formation energy (no corrections)	-2.907	eV per atom
crystal system	tetragonal